1.
Here is crystalline MnHS3 at its relaxed geometry from the Alexandria database. Energies are from GGA-PBE.

**Magnetic moment**: 0.000 μB per formula unit
**Energy above the most stable polymorph in this dataset**: 0.398 eV per atom

Lattice parameters (Å, degrees): 3.8996 3.8996 3.8996 90.00 90.00 90.00
Closest atoms and distances in Å follow each position.
Sites, in units of the cell vectors:
S1 0.0000 0.5000 0.0000  2 H 1.95
S2 0.0000 0.0000 0.5000  2 H 1.95
S3 0.5000 0.0000 0.0000  2 H 1.95
Mn1 0.5000 0.5000 0.5000  12 S 2.76
H1 0.0000 0.0000 0.0000  6 S 1.95

=====

2.
Here is crystalline Pm3Pb2Au2 at its relaxed geometry from the Alexandria database. Energies are from GGA-PBE.

**DFT formation energy**: -4.6 eV/f.u.
**Magnetic moment**: 0.000 μB per formula unit

Lattice parameters (Å, degrees): 4.4786 6.3451 7.7786 106.88 90.00 110.67
Closest atoms and distances in Å follow each position.
Sites, in units of the cell vectors:
Au1 0.1727 0.3453 0.9467  2 Au 2.85, 1 Pb 2.99, 5 Pm 3.07-3.15
Au2 0.8273 0.6547 0.0533  2 Au 2.85, 1 Pb 2.99, 5 Pm 3.07-3.15
Pb1 0.0637 0.1274 0.3378  1 Au 2.99, 3 Pm 3.21-3.30, 1 Pb 3.32
Pb2 0.9363 0.8726 0.6622  1 Au 2.99, 3 Pm 3.21-3.30, 1 Pb 3.32
Pm1 0.5000 0.0000 0.0000  4 Au 3.15, 4 Pb 3.36
Pm2 0.6654 0.3308 0.6596  3 Au 3.07-3.14, 3 Pb 3.21-3.30
Pm3 0.3346 0.6692 0.3404  3 Au 3.07-3.14, 3 Pb 3.21-3.30

=====

- Which value of magnetic moment does entry 1 give?
  0.000 μB per formula unit